VASP calculation (PBE) on a relaxed BaAg3Hg2 crystal.

As for the density: 9.48 g/cm3. The calculation puts the formation enthalpy at 0 K at -0.217 eV per atom. The total magnetization is 0.00 μB/cell.

```
data_BaAg3Hg2
_cell_length_a 6.0589
_cell_length_b 6.0589
_cell_length_c 4.7522
_cell_angle_alpha 90.00
_cell_angle_beta 90.00
_cell_angle_gamma 120.00
_space_group_name_H-M_alt 'P 6/m m m'
_space_group_IT_number 191
_space_group_name_Hall '-P 6 2'
loop_
_atom_site_label
_atom_site_type_symbol
_atom_site_fract_x
_atom_site_fract_y
_atom_site_fract_z
Ba1 Ba 0.0000 0.0000 0.0000
Ag1 Ag 0.0000 0.5000 0.5000
Hg1 Hg 0.3333 0.6667 0.0000
```